Record 1
# SCAN MgCoP2, PBEsol geometry
# ΔE_f	-0.344	eV/atom
data_MgCoP2
_cell_length_a 6.5571
_cell_length_b 3.3013
_cell_length_c 5.5583
_cell_angle_alpha 90.00
_cell_angle_beta 105.94
_cell_angle_gamma 90.00
_symmetry_space_group_name_H-M 'C 1 2/m 1'
_symmetry_Int_Tables_number 12
loop_
_symmetry_equiv_pos_as_xyz
'x,y,z'
'-x,-y,-z'
'-x,y,-z'
'x,-y,z'
'x+1/2,y+1/2,z'
'-x+1/2,-y+1/2,-z'
'-x+1/2,y+1/2,-z'
'x+1/2,-y+1/2,z'
loop_
_atom_site_label
_atom_site_fract_x
_atom_site_fract_y
_atom_site_fract_z
Mg1 0.0000 0.0000 0.0000
Co1 0.0000 0.5000 0.5000
P1 0.2280 0.0000 0.6717

Record 2
# SCAN ZnNi2Ir, PBEsol geometry
# ΔE_f	-0.076	eV/atom
data_ZnNi2Ir
_cell_length_a 2.6124
_cell_length_b 2.6124
_cell_length_c 7.0108
_cell_angle_alpha 90.00
_cell_angle_beta 90.00
_cell_angle_gamma 90.00
_symmetry_space_group_name_H-M 'P 4/m m m'
_symmetry_Int_Tables_number 123
_symmetry_space_group_name_Hall '-P 4 2'
loop_
_atom_site_label
_atom_site_fract_x
_atom_site_fract_y
_atom_site_fract_z
Zn1 0.0000 0.0000 0.0000
Ni1 0.5000 0.5000 0.2465
Ir1 0.0000 0.0000 0.5000

Record 3
# SCAN Ba3SiGe, PBEsol geometry
# energy relative to the elements, uncorrected	0.11	eV per atom
data_Ba3SiGe
_cell_length_a 6.1346
_cell_length_b 6.1346
_cell_length_c 6.1346
_cell_angle_alpha 90.00
_cell_angle_beta 90.00
_cell_angle_gamma 90.00
_symmetry_space_group_name_H-M 'P m -3 m'
_symmetry_Int_Tables_number 221
_symmetry_space_group_name_Hall '-P 4 2 3'
loop_
_atom_site_label
_atom_site_fract_x
_atom_site_fract_y
_atom_site_fract_z
Ba1 0.0000 0.0000 0.5000
Si1 0.5000 0.5000 0.5000
Ge1 0.0000 0.0000 0.0000

Record 4
# SCAN RbRhI2O, PBEsol geometry
# energy relative to the elements, uncorrected	-0.73	eV per atom
data_RbRhI2O
_cell_length_a 5.8268
_cell_length_b 5.8268
_cell_length_c 3.7519
_cell_angle_alpha 90.00
_cell_angle_beta 90.00
_cell_angle_gamma 90.00
_symmetry_space_group_name_H-M 'P 4/m m m'
_symmetry_Int_Tables_number 123
_symmetry_space_group_name_Hall '-P 4 2'
loop_
_atom_site_label
_atom_site_fract_x
_atom_site_fract_y
_atom_site_fract_z
Rb1 0.0000 0.0000 0.0000
Rh1 0.5000 0.5000 0.5000
I1 0.0000 0.5000 0.5000
O1 0.5000 0.5000 0.0000

Taking the records one at a time from the top gives V values of 14.46 11.96 46.17 25.48 Å³ per atom.